Below is Dy2NiHg after structural relaxation, with properties calculated at the PBE level.

Cell: 7.875 7.875 7.875 Å, 28.97 28.97 28.97°
Fractional coordinates of all 4 atoms:
Dy  0.000  0.000  0.000
Dy  0.201  0.201  0.201
Ni  0.602  0.602  0.602
Hg  0.767  0.767  0.767

Formation enthalpy at 0 K ... -332 meV per atom
Relative energy among the computed polymorphs ... 0.1107 eV/atom